Computed, not measured: a geometry-optimized KTa2Cl structure at the GGA-PBE level of DFT.

Values from the calculation:
VASP energy	-23.85	eV for the cell shown
SG	Imm2
Fermi-level density of states	1.219	states/eV per atom
energy above the most stable polymorph in this dataset	677	meV per atom
uncorrected formation energy	700	meV/atom
magnetic moment	0.00	Bohr magnetons per cell

Cell and atoms, written as POSCAR:
```
KTa2Cl
1.0
6.697 0.021 0.001
2.220 6.319 -0.001
-2.884 -5.385 2.746
K Cl Ta
1 1 2
Cartesian
3.785 -1.347 1.374 K
4.074 2.896 0.000 Cl
0.612 0.435 0.000 Ta
2.021 2.140 1.372 Ta
```